Entry w
Below is a relaxed structure of Dy4GaTe, with properties calculated at the PBE level.

a = 8.280 Å, b = 4.139 Å, c = 19.095 Å
α = 90.00°, β = 90.00°, γ = 90.00°
Positions (direct):
Dy1 0.005 0.250 0.068
Dy2 0.038 0.750 0.216
Dy3 0.140 0.750 0.441
Dy4 0.142 0.750 0.650
Dy5 0.358 0.250 0.150
Dy6 0.360 0.250 0.941
Dy7 0.462 0.250 0.716
Dy8 0.495 0.750 0.568
Dy9 0.505 0.250 0.432
Dy10 0.538 0.750 0.284
Dy11 0.640 0.750 0.059
Dy12 0.642 0.750 0.850
Dy13 0.858 0.250 0.350
Dy14 0.860 0.250 0.559
Dy15 0.962 0.250 0.784
Dy16 0.995 0.750 0.932
Ga1 0.235 0.250 0.546
Ga2 0.265 0.750 0.046
Ga3 0.735 0.250 0.954
Ga4 0.765 0.750 0.454
Te1 0.239 0.250 0.312
Te2 0.261 0.750 0.812
Te3 0.739 0.250 0.188
Te4 0.761 0.750 0.688

=====

Entry x
Below is a relaxed structure of Dy4GaTe, with properties calculated at the PBE level.

a = 5.875 Å, b = 8.721 Å, c = 7.630 Å
α = 90.00°, β = 106.31°, γ = 90.00°
Positions (direct):
Dy1 0.029 0.051 0.241
Dy2 0.029 0.449 0.241
Dy3 0.418 0.250 0.008
Dy4 0.427 0.750 0.482
Dy5 0.573 0.250 0.518
Dy6 0.582 0.750 0.992
Dy7 0.971 0.551 0.759
Dy8 0.971 0.949 0.759
Ga1 0.128 0.750 0.073
Ga2 0.872 0.250 0.927
Te1 0.103 0.250 0.591
Te2 0.897 0.750 0.409

=====

The structure with the greatest stability is entry w.

=====

Entry w
Below is a relaxed structure of Dy3GaTe2, with properties calculated at the PBE level.

a = 7.703 Å, b = 7.703 Å, c = 4.516 Å
α = 90.00°, β = 90.00°, γ = 133.86°
Positions (direct):
Dy1 0.000 0.000 0.000
Dy2 0.373 0.627 0.500
Dy3 0.627 0.373 0.500
Ga1 0.500 0.500 0.000
Te1 0.152 0.848 0.500
Te2 0.848 0.152 0.500

=====

Entry x
Below is a relaxed structure of Dy3GaTe2, with properties calculated at the PBE level.

a = 7.587 Å, b = 7.587 Å, c = 7.587 Å
α = 147.84°, β = 132.74°, γ = 58.32°
Positions (direct):
Dy1 0.000 0.000 0.000
Dy2 0.348 0.348 0.000
Dy3 0.652 0.652 0.000
Ga1 0.500 0.000 0.500
Te1 0.173 0.673 0.500
Te2 0.827 0.327 0.500

=====

The structure with the greatest stability is entry x.

=====

Entry w
Below is a relaxed structure of DyThGa4, with properties calculated at the PBE level.

a = 5.603 Å, b = 5.603 Å, c = 5.603 Å
α = 60.00°, β = 60.00°, γ = 60.00°
Positions (direct):
Dy1 0.000 0.000 0.000
Th1 0.750 0.750 0.750
Ga1 0.375 0.375 0.375
Ga2 0.375 0.375 0.875
Ga3 0.375 0.875 0.375
Ga4 0.875 0.375 0.375

=====

Entry x
Below is a relaxed structure of DyThGa4, with properties calculated at the PBE level.

a = 7.943 Å, b = 7.943 Å, c = 7.943 Å
α = 149.20°, β = 149.20°, γ = 44.12°
Positions (direct):
Dy1 0.000 0.000 0.000
Th1 0.250 0.750 0.500
Ga1 0.418 0.418 0.000
Ga2 0.582 0.582 0.000
Ga3 0.666 0.166 0.500
Ga4 0.834 0.334 0.500

=====

The structure with the greatest stability is entry x.

=====

Entry w
Below is a relaxed structure of DyTh2Ga, with properties calculated at the PBE level.

a = 4.757 Å, b = 4.757 Å, c = 4.888 Å
α = 90.00°, β = 90.00°, γ = 90.00°
Positions (direct):
Dy1 0.000 0.000 0.000
Th1 0.000 0.500 0.500
Th2 0.500 0.000 0.500
Ga1 0.500 0.500 0.000

=====

Entry x
Below is a relaxed structure of DyTh2Ga, with properties calculated at the PBE level.

a = 11.852 Å, b = 11.852 Å, c = 11.852 Å
α = 16.49°, β = 16.49°, γ = 16.49°
Positions (direct):
Dy1 0.000 0.000 0.000
Th1 0.095 0.095 0.095
Th2 0.905 0.905 0.905
Ga1 0.500 0.500 0.500

=====

The structure with the greatest stability is entry w.

=====

Entry w
Below is a relaxed structure of DyThGa, with properties calculated at the PBE level.

a = 6.922 Å, b = 6.922 Å, c = 6.922 Å
α = 150.23°, β = 150.23°, γ = 42.60°
Positions (direct):
Dy1 0.000 0.000 0.000
Th1 0.706 0.706 0.000
Ga1 0.360 0.360 0.000

=====

Entry x
Below is a relaxed structure of DyThGa, with properties calculated at the PBE level.

a = 5.293 Å, b = 5.293 Å, c = 6.589 Å
α = 90.00°, β = 90.00°, γ = 120.00°
Positions (direct):
Dy1 0.000 0.000 0.000
Dy2 0.000 0.000 0.500
Th1 0.333 0.667 0.250
Th2 0.667 0.333 0.750
Ga1 0.333 0.667 0.750
Ga2 0.667 0.333 0.250

=====

The structure with the greatest stability is entry w.

=====

Entry w
Below is a relaxed structure of Dy2ThGa6, with properties calculated at the PBE level.

a = 7.870 Å, b = 7.870 Å, c = 7.870 Å
α = 148.38°, β = 126.32°, γ = 63.65°
Positions (direct):
Dy1 0.129 0.129 0.000
Dy2 0.871 0.871 0.000
Th1 0.500 0.000 0.500
Ga1 0.130 0.320 0.810
Ga2 0.181 0.500 0.681
Ga3 0.489 0.680 0.810
Ga4 0.511 0.320 0.190
Ga5 0.819 0.500 0.319
Ga6 0.870 0.680 0.190

=====

Entry x
Below is a relaxed structure of Dy2ThGa6, with properties calculated at the PBE level.

a = 7.340 Å, b = 7.340 Å, c = 4.156 Å
α = 90.00°, β = 90.00°, γ = 120.00°
Positions (direct):
Dy1 0.333 0.667 0.000
Dy2 0.667 0.333 0.000
Th1 0.000 0.000 0.000
Ga1 0.000 0.335 0.500
Ga2 0.000 0.665 0.500
Ga3 0.335 0.000 0.500
Ga4 0.335 0.335 0.500
Ga5 0.665 0.000 0.500
Ga6 0.665 0.665 0.500

=====

The structure with the greatest stability is entry x.